No. 1
A plane-wave DFT calculation with GGA-PBE was carried out for crystalline BiSbPb at its relaxed geometry.

Structure (POSCAR):
```
BiSbPb
1.0
4.0427 0.0000 0.0000
0.0000 4.0427 0.0000
-2.0214 -2.0214 5.6826
Pb Sb Bi
1 1 1
Direct
0.6274 0.6274 0.2547
0.2947 0.2947 0.5893
0.9280 0.9280 0.8560
```

Computed properties:
E above lowest polymorph   43 meV per atom
Uncorrected formation energy   0.0893 eV/atom

No. 2
A plane-wave DFT calculation with GGA-PBE was carried out for crystalline CaBeRh at its relaxed geometry.

Structure (POSCAR):
```
CaBeRh
1.0
4.2402 0.0000 0.0000
2.1201 3.6721 0.0000
2.1201 1.2240 3.4621
Rh Ca Be
1 1 1
Direct
0.5000 0.5000 0.5000
0.0000 0.0000 0.0000
0.2500 0.2500 0.2500
```

Computed properties:
ΔE_f   71 meV per atom
E above lowest polymorph   536 meV per atom

No. 3
A plane-wave DFT calculation with GGA-PBE was carried out for crystalline La4Cd2Ni at its relaxed geometry.

Structure (POSCAR):
```
La4Cd2Ni
1.0
-1.5215 -2.4628 2.7911
0.6518 -2.8883 -5.0900
17.6859 -5.0877 5.1517
La Cd Ni
8 4 2
Direct
0.5000 0.0000 0.5000
0.0855 0.1711 0.8506
0.5000 0.0000 0.0000
0.9145 0.8289 0.1494
0.9145 0.8289 0.3506
0.0855 0.1711 0.6494
0.1841 0.3681 0.2500
0.8159 0.6319 0.7500
0.2112 0.4225 0.4348
0.2112 0.4225 0.0652
0.7888 0.5775 0.9348
0.7888 0.5775 0.5652
0.5267 0.0533 0.7500
0.4733 0.9467 0.2500
```

Computed properties:
ΔE_f   -158 meV per atom
E above lowest polymorph   0 meV per atom

No. 4
A plane-wave DFT calculation with GGA-PBE was carried out for crystalline Pm2Nd2Hg7 at its relaxed geometry.

Structure (POSCAR):
```
Pm2Nd2Hg7
1.0
-2.6800 -3.9662 5.1937
-2.7627 -4.4702 -4.8392
6.3313 -3.0205 -0.8243
Hg Nd Pm
7 2 2
Direct
0.5003 0.7130 0.9998
0.0002 0.7130 0.4997
0.4998 0.2881 0.5002
0.5002 0.7119 0.4998
0.9998 0.2870 0.5003
0.0000 0.0000 0.0000
0.4997 0.2870 0.0002
0.1947 0.5000 0.1947
0.8053 0.5000 0.8053
0.2924 0.0000 0.7076
0.7076 0.0000 0.2924
```

Computed properties:
ΔE_f   -119 meV per atom

No. 5
A plane-wave DFT calculation with GGA-PBE was carried out for crystalline LaSi3Ge at its relaxed geometry.

Structure (POSCAR):
```
LaSi3Ge
1.0
5.4690 0.0000 0.0000
0.0000 5.4690 0.0000
0.0000 0.0000 5.4690
Si Ge La
3 1 1
Direct
0.5000 0.0000 0.0000
0.0000 0.0000 0.5000
0.0000 0.5000 0.0000
0.5000 0.5000 0.5000
0.0000 0.0000 0.0000
```

Computed properties:
E above lowest polymorph   1117 meV per atom
Uncorrected formation energy   1.4620 eV/atom

No. 6
A plane-wave DFT calculation with GGA-PBE was carried out for crystalline Rb at its relaxed geometry.

Structure (POSCAR):
```
Rb
1.0
17.6727 0.0000 0.0000
0.0000 17.6727 0.0000
0.0000 0.0000 4.7702
Rb
16
Direct
0.5974 0.1433 0.0000
0.5993 0.6605 0.0000
0.4026 0.8567 0.0000
0.3567 0.0974 0.5000
0.9026 0.3567 0.5000
0.8395 0.0993 0.5000
0.0974 0.6433 0.5000
0.9007 0.8395 0.5000
0.8567 0.5974 0.0000
0.6605 0.4007 0.0000
0.3395 0.5993 0.0000
0.4007 0.3395 0.0000
0.6433 0.9026 0.5000
0.0993 0.1605 0.5000
0.1605 0.9007 0.5000
0.1433 0.4026 0.0000
```

Computed properties:
ΔE_f   49 meV per atom
E above lowest polymorph   49 meV per atom

Electronic total energy values, unit eV/atom, following the record order: -3.81; -4.29; -4.06; -2.04; -3.70; -0.92.
Magnetic moment values, unit μB per formula unit, following the record order: 0.0; 0.0; 0.0; 0.0; 0.0; 0.0.
Theoretical density values, unit g cm⁻³, following the record order: 9.6; 4.7; 6.6; 9.4; 3.0; 1.5.